First-principles (GGA-PBE) data for a relaxed Ac2AgHgPt crystal, as listed in the Alexandria database.

Unit cell a=7.4159 b=4.5718 c=9.1565 alpha=90.00 beta=95.58 gamma=90.00
Positions (direct):
Ac1 0.1741 0.2500 0.3520
Ac2 0.2195 0.2500 0.9205
Ac3 0.7805 0.7500 0.0795
Ac4 0.8259 0.7500 0.6480
Ag1 0.4941 0.7500 0.3746
Ag2 0.5059 0.2500 0.6254
Hg1 0.2749 0.7500 0.6456
Hg2 0.7251 0.2500 0.3544
Pt1 0.2069 0.7500 0.1390
Pt2 0.7931 0.2500 0.8610

Results
E = -40.9 eV/cell
E_form = -0.6070 eV/atom

=====

First-principles (GGA-PBE) data for a relaxed CeNpRh2 crystal, as listed in the Alexandria database.

Unit cell a=4.8637 b=4.8637 c=3.4509 alpha=90.00 beta=90.00 gamma=90.00
Positions (direct):
Ce1 0.0000 0.0000 0.0000
Np1 0.5000 0.5000 0.0000
Rh1 0.0000 0.5000 0.5000
Rh2 0.5000 0.0000 0.5000

Results
E = -35.3 eV/cell
E_form = -0.4314 eV/atom

=====

First-principles (GGA-PBE) data for a relaxed KZr2Se2 crystal, as listed in the Alexandria database.

Unit cell a=7.9155 b=7.9155 c=7.9155 alpha=148.86 beta=148.86 gamma=44.62
Positions (direct):
K1 0.0000 0.0000 0.0000
Zr1 0.2500 0.7500 0.5000
Zr2 0.7500 0.2500 0.5000
Se1 0.3725 0.3725 0.0000
Se2 0.6275 0.6275 0.0000

Results
E = -29.9 eV/cell

=====

First-principles (GGA-PBE) data for a relaxed Rb2SiPBr6 crystal, as listed in the Alexandria database.

Unit cell a=7.5967 b=7.5967 c=7.5967 alpha=60.00 beta=60.00 gamma=60.00
Positions (direct):
Rb1 0.2500 0.2500 0.2500
Rb2 0.7500 0.7500 0.7500
Si1 0.0000 0.0000 0.0000
P1 0.5000 0.5000 0.5000
Br1 0.2492 0.2492 0.7508
Br2 0.2492 0.7508 0.2492
Br3 0.2492 0.7508 0.7508
Br4 0.7508 0.2492 0.2492
Br5 0.7508 0.2492 0.7508
Br6 0.7508 0.7508 0.2492

Results
E = -30.6 eV/cell